[1]
# NaGeS4

A relaxed NaGeS4 crystal (PBE-GGA, the Alexandria database).

Unit cell a=6.017 b=6.929 c=9.996 alpha=100.63 beta=96.57 gamma=122.59
Atoms (fractional coordinates):
S1 0.308 0.238 0.370
S2 0.804 0.150 0.995
Na1 0.584 0.834 0.168
Ge1 0.251 0.501 0.503
Ge2 0.749 0.499 0.497
S3 0.062 0.632 0.370
S4 0.196 0.850 0.005
S5 0.938 0.368 0.630
Na2 0.416 0.166 0.832
S6 0.692 0.762 0.630
S7 0.809 0.655 0.005
S8 0.191 0.345 0.995

Computed properties:
Its calculated volume is 333.4 Å³/cell. For the formation energy without anion corrections, the calculation gives -0.280 eV per atom.

=====

[2]
# Na3Ge5S12

A relaxed Na3Ge5S12 crystal (PBE-GGA, the Alexandria database).

Unit cell a=13.078 b=13.078 c=13.078 alpha=109.47 beta=109.47 gamma=109.47
Atoms (fractional coordinates):
S1 0.091 0.179 0.472
Na1 0.375 0.750 0.625
Ge1 0.000 0.000 0.000
S2 0.821 0.909 0.028
S3 0.706 0.587 0.179
Ge2 0.375 0.250 0.125
Na2 0.125 0.250 0.875
Ge3 0.750 0.125 0.875
S4 0.821 0.913 0.294
S5 0.881 0.294 0.472
S6 0.413 0.119 0.591
S7 0.087 0.909 0.381
S8 0.679 0.206 0.587
Ge4 0.500 0.000 0.000
S9 0.794 0.472 0.381
S10 0.381 0.409 0.087
S11 0.206 0.528 0.619
Ge5 0.875 0.250 0.625
S12 0.679 0.472 0.591
S13 0.413 0.294 0.321
Ge6 0.625 0.750 0.875
S14 0.409 0.028 0.321
Ge7 0.375 0.125 0.750
S15 0.881 0.587 0.909
S16 0.472 0.679 0.091
Na3 0.250 0.625 0.875
S17 0.972 0.381 0.294
S18 0.909 0.087 0.881
S19 0.294 0.881 0.972
Na4 0.125 0.875 0.750
Na5 0.625 0.375 0.750
Ge8 0.625 0.875 0.250
S20 0.119 0.413 0.091
S21 0.028 0.619 0.706
Ge9 0.750 0.625 0.375
S22 0.528 0.206 0.119
S23 0.619 0.591 0.913
S24 0.179 0.091 0.972
S25 0.913 0.091 0.619
S26 0.619 0.028 0.206
S27 0.028 0.409 0.821
S28 0.179 0.087 0.706
S29 0.294 0.413 0.821
Ge10 0.500 0.000 0.500
S30 0.119 0.706 0.528
S31 0.587 0.706 0.679
Na6 0.875 0.125 0.250
Na7 0.750 0.875 0.625
S32 0.321 0.528 0.409
Na8 0.750 0.375 0.125
S33 0.206 0.679 0.087
S34 0.381 0.972 0.794
S35 0.087 0.179 0.206
Na9 0.375 0.625 0.250
S36 0.591 0.619 0.413
S37 0.913 0.821 0.794
S38 0.587 0.881 0.409
Ge11 0.250 0.875 0.125
Ge12 0.125 0.375 0.250
S39 0.528 0.321 0.909
Na10 0.875 0.750 0.125
S40 0.794 0.321 0.913
S41 0.409 0.381 0.587
Ge13 0.000 0.500 0.500
S42 0.091 0.913 0.119
S43 0.591 0.972 0.679
Ge14 0.000 0.500 0.000
Ge15 0.250 0.375 0.625
Ge16 0.875 0.625 0.750
Na11 0.625 0.250 0.375
S44 0.472 0.794 0.881
Ge17 0.500 0.500 0.000
S45 0.321 0.794 0.413
Na12 0.250 0.125 0.375
Ge18 0.000 0.000 0.500
Ge19 0.125 0.750 0.375
Ge20 0.500 0.500 0.500
S46 0.909 0.821 0.528
S47 0.706 0.119 0.028
S48 0.972 0.591 0.179

Computed properties:
Its calculated volume is 1722.0 Å³/cell. For the formation energy without anion corrections, the calculation gives -0.359 eV per atom.

=====

[3]
# NaGeS3

A relaxed NaGeS3 crystal (PBE-GGA, the Alexandria database).

Unit cell a=4.792 b=4.792 c=4.792 alpha=90.00 beta=90.00 gamma=90.00
Atoms (fractional coordinates):
S1 0.000 0.000 0.500
Ge1 0.000 0.000 0.000
Na1 0.500 0.500 0.500
S2 0.000 0.500 0.000
S3 0.500 0.000 0.000

Computed properties:
Its calculated volume is 110.0 Å³/cell. For the formation energy without anion corrections, the calculation gives -0.062 eV per atom. The value obtained for the energy above the lowest structure with this stoichiometry is 487.5 meV/atom.

=====

[4]
# Na2GeS2

A relaxed Na2GeS2 crystal (PBE-GGA, the Alexandria database).

Unit cell a=3.686 b=6.102 c=10.084 alpha=90.00 beta=100.53 gamma=90.00
Atoms (fractional coordinates):
Na1 0.977 0.703 0.954
S1 0.419 0.398 0.837
S2 0.194 0.508 0.387
Ge1 0.613 0.531 0.227
Ge2 0.387 0.031 0.773
Na2 0.023 0.203 0.046
Na3 0.189 0.995 0.378
S3 0.806 0.008 0.613
Na4 0.811 0.495 0.622
S4 0.581 0.898 0.163

Computed properties:
Its calculated volume is 223.0 Å³/cell. For the formation energy without anion corrections, the calculation gives -0.762 eV per atom.

=====

How do the records compare in calculated density? In the order shown, they have 2.230 3.151 2.895 2.722 g/cm3.